#1
LaHo5Er3: relaxed, PBE.

a b c (Å): 9.356 9.356 12.909
angles (deg): 50.63 50.63 50.26
Positions (direct):
Ho1 0.492 0.077 0.780
Ho2 0.445 0.445 0.432
Ho3 0.923 0.508 0.220
Ho4 0.508 0.923 0.220
Ho5 0.077 0.492 0.780
Ho6 0.629 0.629 0.072
Ho7 0.322 0.678 0.000
Ho8 0.678 0.322 0.000
Ho9 0.371 0.371 0.928
Ho10 0.555 0.555 0.568
Er1 0.826 0.826 0.338
Er2 0.000 0.000 0.000
Er3 0.000 0.000 0.500
Er4 0.174 0.174 0.662
Er5 0.303 0.303 0.319
Er6 0.697 0.697 0.681
La1 0.900 0.900 0.862
La2 0.100 0.100 0.138

Symmetry: C2/m, No. 12
Density of states at the Fermi level in states/eV per cell: 27.720

#2
LaHo5Er3: relaxed, PBE.

a b c (Å): 6.020 10.013 11.111
angles (deg): 111.55 90.00 107.50
Positions (direct):
Er1 0.000 0.000 0.000
Er2 0.949 0.354 0.865
Er3 0.405 0.354 0.365
Er4 0.051 0.646 0.135
Er5 0.595 0.646 0.635
Er6 0.000 0.000 0.500
Ho1 0.579 0.671 0.304
Ho2 0.433 0.338 0.029
Ho3 0.421 0.329 0.696
Ho4 0.091 0.671 0.804
Ho5 0.909 0.329 0.196
Ho6 0.094 0.662 0.471
Ho7 0.630 0.000 0.250
Ho8 0.906 0.338 0.529
Ho9 0.370 0.000 0.750
Ho10 0.567 0.662 0.971
La1 0.853 0.000 0.750
La2 0.147 0.000 0.250

Symmetry: C2/c, No. 15
Density of states at the Fermi level in states/eV per cell: 27.998

Energies in meV/atom, measured from the most stable structure: #1 88; #2 0.

#1
LaHo3Er7: relaxed, PBE.

a b c (Å): 5.513 9.825 8.831
angles (deg): 104.58 128.63 90.01
Positions (direct):
La1 0.500 0.500 0.500
Er1 0.068 0.168 0.069
Er2 0.851 0.711 0.351
Er3 0.500 0.000 0.500
Er4 0.326 0.643 0.826
Er5 0.149 0.289 0.649
Er6 0.932 0.832 0.931
Er7 0.674 0.357 0.174
Ho1 0.275 0.993 0.775
Ho2 0.725 0.007 0.225
Ho3 0.000 0.500 0.000

Symmetry: P2/m, No. 10
Density of states at the Fermi level in states/eV per cell: 17.660

#2
LaHo3Er7: relaxed, PBE.

a b c (Å): 5.768 8.376 8.376
angles (deg): 83.31 110.18 110.18
Positions (direct):
Er1 0.205 0.205 0.205
Er2 0.289 0.597 0.981
Er3 0.711 0.403 0.019
Er4 0.000 0.500 0.500
Er5 0.289 0.981 0.597
Er6 0.795 0.795 0.795
Er7 0.711 0.019 0.403
Ho1 0.000 0.794 0.206
Ho2 0.000 0.206 0.794
Ho3 0.500 0.000 0.000
La1 0.500 0.500 0.500

Symmetry: Immm, No. 71
Density of states at the Fermi level in states/eV per cell: 17.127

Energies in meV/atom, measured from the most stable structure: #1 0; #2 112.

#1
LaHo12Er6: relaxed, PBE.

a b c (Å): 8.481 8.481 8.481
angles (deg): 88.34 88.34 88.34
Positions (direct):
Ho1 0.008 0.211 0.356
Ho2 0.644 0.992 0.789
Ho3 0.455 0.565 0.227
Ho4 0.789 0.644 0.992
Ho5 0.992 0.789 0.644
Ho6 0.211 0.356 0.008
Ho7 0.435 0.773 0.545
Ho8 0.773 0.545 0.435
Ho9 0.565 0.227 0.455
Ho10 0.356 0.008 0.211
Ho11 0.227 0.455 0.565
Ho12 0.545 0.435 0.773
Er1 0.908 0.315 0.743
Er2 0.315 0.743 0.908
Er3 0.743 0.908 0.315
Er4 0.092 0.685 0.257
Er5 0.257 0.092 0.685
Er6 0.685 0.257 0.092
La1 0.000 0.000 0.000

Symmetry: R-3, No. 148
Density of states at the Fermi level in states/eV per cell: 33.220

#2
LaHo12Er6: relaxed, PBE.

a b c (Å): 9.243 9.243 9.243
angles (deg): 107.64 107.64 107.64
Positions (direct):
Er1 0.265 0.690 0.690
Er2 0.690 0.265 0.690
Er3 0.310 0.735 0.310
Er4 0.310 0.310 0.735
Er5 0.735 0.310 0.310
Er6 0.690 0.690 0.265
Ho1 0.154 0.373 0.373
Ho2 0.500 0.111 0.889
Ho3 0.373 0.373 0.154
Ho4 0.111 0.500 0.889
Ho5 0.889 0.111 0.500
Ho6 0.500 0.889 0.111
Ho7 0.627 0.846 0.627
Ho8 0.111 0.889 0.500
Ho9 0.627 0.627 0.846
Ho10 0.373 0.154 0.373
Ho11 0.846 0.627 0.627
Ho12 0.889 0.500 0.111
La1 0.000 0.000 0.000

Symmetry: R-3m, No. 166
Density of states at the Fermi level in states/eV per cell: 23.578

Energies in meV/atom, measured from the most stable structure: #1 0; #2 269.

#1
La3Ho2Er2: relaxed, PBE.

a b c (Å): 3.597 5.753 11.789
angles (deg): 104.11 90.00 90.00
Positions (direct):
La1 0.500 0.156 0.310
La2 0.000 0.000 0.000
La3 0.500 0.844 0.690
Ho1 0.000 0.296 0.592
Ho2 0.000 0.704 0.408
Er1 0.500 0.572 0.143
Er2 0.500 0.428 0.857

Symmetry: P2/m, No. 10
Density of states at the Fermi level in states/eV per cell: 11.277

#2
La3Ho2Er2: relaxed, PBE.

a b c (Å): 3.512 8.602 9.034
angles (deg): 117.89 101.21 90.00
Positions (direct):
La1 0.000 0.500 0.000
La2 0.214 0.795 0.428
La3 0.786 0.205 0.572
Ho1 0.564 0.911 0.129
Ho2 0.436 0.089 0.871
Er1 0.860 0.681 0.719
Er2 0.140 0.319 0.281

Symmetry: C2/m, No. 12
Density of states at the Fermi level in states/eV per cell: 10.926

Energies in meV/atom, measured from the most stable structure: #1 0; #2 67.

#1
La2Ho3Er6: relaxed, PBE.

a b c (Å): 6.074 6.077 11.753
angles (deg): 85.03 80.03 60.02
Positions (direct):
Er1 0.748 0.000 0.756
Er2 0.585 0.333 0.244
Er3 0.415 0.667 0.756
Er4 0.252 0.000 0.244
Er5 0.919 0.667 0.244
Er6 0.081 0.333 0.756
Ho1 0.665 0.670 0.000
Ho2 0.000 0.000 0.000
Ho3 0.335 0.330 0.000
La1 0.167 0.666 0.500
La2 0.833 0.334 0.500

Symmetry: C2/m, No. 12
Density of states at the Fermi level in states/eV per cell: 17.890

#2
La2Ho3Er6: relaxed, PBE.

a b c (Å): 4.731 4.731 16.982
angles (deg): 98.01 98.01 90.00
Positions (direct):
Er1 0.376 0.876 0.752
Er2 0.305 0.305 0.609
Er3 0.124 0.624 0.248
Er4 0.695 0.695 0.391
Er5 0.876 0.376 0.752
Er6 0.624 0.124 0.248
Ho1 0.798 0.798 0.595
Ho2 0.202 0.202 0.405
Ho3 0.000 0.000 0.000
La1 0.546 0.546 0.093
La2 0.454 0.454 0.907

Symmetry: I4/mmm, No. 139
Density of states at the Fermi level in states/eV per cell: 17.735

Energies in meV/atom, measured from the most stable structure: #1 0; #2 86.

#1
LaHo12Er7: relaxed, PBE.

a b c (Å): 8.665 8.665 8.665
angles (deg): 87.14 87.14 87.14
Positions (direct):
Er1 0.875 0.002 0.371
Er2 0.371 0.875 0.002
Er3 0.002 0.371 0.875
Er4 0.500 0.500 0.500
Er5 0.125 0.998 0.629
Er6 0.998 0.629 0.125
Er7 0.629 0.125 0.998
Ho1 0.346 0.434 0.106
Ho2 0.767 0.238 0.646
Ho3 0.434 0.106 0.346
Ho4 0.233 0.762 0.354
Ho5 0.762 0.354 0.233
Ho6 0.654 0.566 0.894
Ho7 0.894 0.654 0.566
Ho8 0.566 0.894 0.654
Ho9 0.106 0.346 0.434
Ho10 0.238 0.646 0.767
Ho11 0.646 0.767 0.238
Ho12 0.354 0.233 0.762
La1 0.000 0.000 0.000

Symmetry: R-3, No. 148
Density of states at the Fermi level in states/eV per cell: 34.066

#2
LaHo12Er7: relaxed, PBE.

a b c (Å): 9.763 9.763 9.763
angles (deg): 109.47 109.47 109.47
Positions (direct):
Ho1 0.261 0.000 0.739
Ho2 0.261 0.261 0.523
Ho3 0.739 0.739 0.477
Ho4 0.261 0.523 0.261
Ho5 0.477 0.739 0.739
Ho6 0.523 0.261 0.261
Ho7 0.739 0.477 0.739
Ho8 0.000 0.261 0.739
Ho9 0.739 0.261 0.000
Ho10 0.261 0.739 0.000
Ho11 0.000 0.739 0.261
Ho12 0.739 0.000 0.261
Er1 0.500 0.500 0.000
Er2 0.000 0.000 0.500
Er3 0.000 0.500 0.000
Er4 0.500 0.000 0.000
Er5 0.000 0.500 0.500
Er6 0.500 0.500 0.500
Er7 0.500 0.000 0.500
La1 0.000 0.000 0.000

Symmetry: Im-3m, No. 229
Density of states at the Fermi level in states/eV per cell: 25.628

Energies in meV/atom, measured from the most stable structure: #1 0; #2 473.

#1
La4Ho3Er2: relaxed, PBE.

a b c (Å): 3.672 6.756 14.583
angles (deg): 64.26 90.00 105.77
Positions (direct):
Er1 0.664 0.329 0.792
Er2 0.336 0.671 0.208
Ho1 0.000 0.000 0.000
Ho2 0.618 0.236 0.388
Ho3 0.382 0.764 0.612
La1 0.113 0.225 0.607
La2 0.647 0.293 0.128
La3 0.353 0.707 0.872
La4 0.887 0.775 0.393

Symmetry: C2/m, No. 12
Density of states at the Fermi level in states/eV per cell: 13.990

#2
La4Ho3Er2: relaxed, PBE.

a b c (Å): 5.143 8.054 8.107
angles (deg): 107.38 108.49 90.00
Positions (direct):
La1 0.554 0.329 0.107
La2 0.776 0.668 0.553
La3 0.224 0.332 0.447
La4 0.446 0.671 0.893
Er1 0.668 0.000 0.336
Er2 0.332 0.000 0.664
Ho1 0.000 0.000 0.000
Ho2 0.888 0.328 0.776
Ho3 0.112 0.672 0.224

Symmetry: C2/m, No. 12
Density of states at the Fermi level in states/eV per cell: 15.661

Energies in meV/atom, measured from the most stable structure: #1 50; #2 0.

#1
LaNdHoEr: relaxed, PBE.

a b c (Å): 5.761 5.761 5.761
angles (deg): 60.00 60.00 60.00
Positions (direct):
Er1 0.500 0.500 0.500
Nd1 0.750 0.750 0.750
La1 0.250 0.250 0.250
Ho1 0.000 0.000 0.000

Symmetry: F-43m, No. 216
Density of states at the Fermi level in states/eV per cell: 7.376

#2
LaNdHoEr: relaxed, PBE.

a b c (Å): 3.820 5.918 6.948
angles (deg): 115.20 73.47 90.00
Positions (direct):
La1 0.392 0.135 0.270
Nd1 0.688 0.403 0.805
Er1 0.910 0.646 0.292
Ho1 0.196 0.881 0.763

Symmetry: Cm, No. 8
Density of states at the Fermi level in states/eV per cell: 7.031

Energies in meV/atom, measured from the most stable structure: #1 0; #2 7.

#1
LaHoErSc: relaxed, PBE.

a b c (Å): 3.816 5.656 6.674
angles (deg): 115.07 73.36 90.00
Positions (direct):
Sc1 0.921 0.642 0.283
La1 0.418 0.141 0.281
Ho1 0.655 0.410 0.820
Er1 0.192 0.873 0.745

Symmetry: Cm, No. 8
Density of states at the Fermi level in states/eV per cell: 6.625

#2
LaHoErSc: relaxed, PBE.

a b c (Å): 5.594 5.594 5.594
angles (deg): 60.00 60.00 60.00
Positions (direct):
Er1 0.500 0.500 0.500
Ho1 0.250 0.250 0.250
Sc1 0.000 0.000 0.000
La1 0.750 0.750 0.750

Symmetry: F-43m, No. 216
Density of states at the Fermi level in states/eV per cell: 5.873

Energies in meV/atom, measured from the most stable structure: #1 0; #2 11.

#1
LaHoErTh: relaxed, PBE.

a b c (Å): 3.612 3.612 10.021
angles (deg): 90.00 90.00 90.00
Positions (direct):
Th1 0.000 0.000 0.571
La1 0.000 0.000 0.072
Er1 0.500 0.500 0.333
Ho1 0.500 0.500 0.809

Symmetry: P4mm, No. 99
Density of states at the Fermi level in states/eV per cell: 4.238

#2
LaHoErTh: relaxed, PBE.

a b c (Å): 5.704 5.704 5.704
angles (deg): 60.00 60.00 60.00
Positions (direct):
Er1 0.000 0.000 0.000
Th1 0.750 0.750 0.750
Ho1 0.500 0.500 0.500
La1 0.250 0.250 0.250

Symmetry: F-43m, No. 216
Density of states at the Fermi level in states/eV per cell: 6.817

Energies in meV/atom, measured from the most stable structure: #1 0; #2 98.

#1
LaHoErTm: relaxed, PBE.

a b c (Å): 5.696 5.696 5.696
angles (deg): 60.00 60.00 60.00
Positions (direct):
La1 0.250 0.250 0.250
Ho1 0.750 0.750 0.750
Tm1 0.500 0.500 0.500
Er1 0.000 0.000 0.000

Symmetry: F-43m, No. 216
Density of states at the Fermi level in states/eV per cell: 6.128

#2
LaHoErTm: relaxed, PBE.

a b c (Å): 3.573 3.573 11.790
angles (deg): 90.00 98.70 120.00
Positions (direct):
Er1 0.475 0.135 0.626
Ho1 0.302 0.549 0.867
La1 0.970 0.383 0.369
Tm1 0.131 0.964 0.109

Symmetry: R3m, No. 160
Density of states at the Fermi level in states/eV per cell: 5.774

Energies in meV/atom, measured from the most stable structure: #1 73; #2 0.